Here is a geometry-optimized Ca2AgGe structure from Alexandria via LeMat-Bulk. Energies are from GGA-PBE.

Output
DFT formation energy ... -0.48 eV/f.u.
E ... -2.99 eV per atom
SG ... I-42d, No. 122
Total magnetization ... 0.00 μB/atom

a b c (Å): 6.6484 6.6484 6.6484
angles (deg): 104.90 104.90 119.06
Last column: nearest neighbours and their distance in Å.
Sites, in units of the cell vectors:
Ca1 0.1156 0.1250 0.4906  2 Ge 2.94, 2 Ag 3.04
Ca2 0.3750 0.8844 0.0094  2 Ge 2.94, 2 Ag 3.04
Ca3 0.6344 0.6250 0.5094  2 Ge 2.94, 2 Ag 3.04
Ca4 0.8750 0.3656 0.9906  2 Ge 2.94, 2 Ag 3.04
Ag1 0.2500 0.7500 0.5000  4 Ca 3.04, 2 Ge 3.37
Ag2 0.5000 0.5000 0.0000  4 Ca 3.04, 2 Ge 3.37
Ge1 0.0000 0.0000 0.0000  4 Ca 2.94
Ge2 0.7500 0.2500 0.5000  4 Ca 2.94